# YSc2Ni, single point on PBEsol structure, DFT meta-GGA SCAN
# Energy above the lowest structure with this stoichiometry (eV per formula unit): 1.00
# E_form (meV per atom): 36
# V (A^3/atom): 20.5
data_YSc2Ni
_chemical_formula_sum 'Y1 Sc2 Ni1'
_cell_length_a 3.656
_cell_length_b 4.683
_cell_length_c 4.779
_cell_angle_alpha 90.00
_cell_angle_beta 90.00
_cell_angle_gamma 90.00
_symmetry_space_group_name_H-M 'P m m m'
_symmetry_Int_Tables_number 47
loop_
_symmetry_equiv_pos_as_xyz
'x,y,z'
'-x,-y,-z'
'-x,-y,z'
'x,y,-z'
'x,-y,-z'
'-x,y,z'
'-x,y,-z'
'x,-y,z'
loop_
_atom_site_label
_atom_site_fract_x
_atom_site_fract_y
_atom_site_fract_z
_atom_site_occupancy
Y1 0.000 0.000 0.000 1
Sc1 0.000 0.500 0.500 1
Sc2 0.500 0.000 0.500 1
Ni1 0.500 0.500 0.000 1

=====

# ReW3, single point on PBEsol structure, DFT meta-GGA SCAN
# Energy above the lowest structure with this stoichiometry (eV per formula unit): 0.01
# E_form (meV per atom): 12
# V (A^3/atom): 15.4
data_ReW3
_chemical_formula_sum 'Re4 W12'
_cell_length_a 6.274
_cell_length_b 8.868
_cell_length_c 4.428
_cell_angle_alpha 90.00
_cell_angle_beta 90.00
_cell_angle_gamma 90.00
_symmetry_space_group_name_H-M 'C m c m'
_symmetry_Int_Tables_number 63
_symmetry_space_group_name_Hall '-C 2c 2'
loop_
_atom_site_label
_atom_site_fract_x
_atom_site_fract_y
_atom_site_fract_z
_atom_site_occupancy
Re1 0.000 0.124 0.250 1
W1 0.000 0.374 0.750 1
W2 0.249 0.375 0.250 1

=====

# CrSb2TeI, single point on PBEsol structure, DFT meta-GGA SCAN
# Raw formation energy (eV per atom): 0.3848
# Energy above the lowest structure with this stoichiometry (eV per formula unit): 0.00
# V (A^3/atom): 25.6
data_CrSb2TeI
_chemical_formula_sum 'Cr1 Sb2 Te1 I1'
_cell_length_a 5.090
_cell_length_b 5.090
_cell_length_c 4.945
_cell_angle_alpha 90.00
_cell_angle_beta 90.00
_cell_angle_gamma 90.00
_symmetry_space_group_name_H-M 'P 4/m m m'
_symmetry_Int_Tables_number 123
_symmetry_space_group_name_Hall '-P 4 2'
loop_
_atom_site_label
_atom_site_fract_x
_atom_site_fract_y
_atom_site_fract_z
_atom_site_occupancy
Cr1 0.000 0.000 0.000 1
Sb1 0.000 0.500 0.000 1
Te1 0.000 0.000 0.500 1
I1 0.500 0.500 0.500 1

=====

# LiYGa4, single point on PBEsol structure, DFT meta-GGA SCAN
# E_form (meV per atom): -601
# V (A^3/atom): 17.9
data_LiYGa4
_chemical_formula_sum 'Li1 Y1 Ga4'
_cell_length_a 4.2844
_cell_length_b 4.2844
_cell_length_c 6.7674
_cell_angle_alpha 90.00
_cell_angle_beta 90.00
_cell_angle_gamma 120.00
_symmetry_space_group_name_H-M 'P -6 m 2'
_symmetry_Int_Tables_number 187
_symmetry_space_group_name_Hall 'P -6 2'
loop_
_atom_site_label
_atom_site_fract_x
_atom_site_fract_y
_atom_site_fract_z
_atom_site_occupancy
Li1 0.0000 0.0000 0.0000 1
Y1 0.0000 0.0000 0.5000 1
Ga1 0.3333 0.6667 0.2744 1
Ga2 0.6667 0.3333 0.1923 1

=====

# YZrRu4, single point on PBEsol structure, DFT meta-GGA SCAN
# E_form (meV per atom): -385
# V (A^3/atom): 16.6
data_YZrRu4
_chemical_formula_sum 'Y4 Zr4 Ru16'
_cell_length_a 7.354
_cell_length_b 7.354
_cell_length_c 7.354
_cell_angle_alpha 90.00
_cell_angle_beta 90.00
_cell_angle_gamma 90.00
_symmetry_space_group_name_H-M 'F -4 3 m'
_symmetry_Int_Tables_number 216
_symmetry_space_group_name_Hall 'F -4 2 3'
loop_
_atom_site_label
_atom_site_fract_x
_atom_site_fract_y
_atom_site_fract_z
_atom_site_occupancy
Y1 0.000 0.000 0.000 1
Zr1 0.250 0.250 0.250 1
Ru1 0.125 0.125 0.625 1

=====

# IrOsAu2, single point on PBEsol structure, DFT meta-GGA SCAN
# Energy above the lowest structure with this stoichiometry (eV per formula unit): 1.05
# E_form (meV per atom): 627
# V (A^3/atom): 15.6
data_IrOsAu2
_chemical_formula_sum 'Ir1 Os1 Au2'
_cell_length_a 2.723
_cell_length_b 4.819
_cell_length_c 4.754
_cell_angle_alpha 90.00
_cell_angle_beta 90.73
_cell_angle_gamma 90.00
_symmetry_space_group_name_H-M 'P 1 2/m 1'
_symmetry_Int_Tables_number 10
loop_
_symmetry_equiv_pos_as_xyz
'x,y,z'
'-x,-y,-z'
'-x,y,-z'
'x,-y,z'
loop_
_atom_site_label
_atom_site_fract_x
_atom_site_fract_y
_atom_site_fract_z
_atom_site_occupancy
Ir1 0.000 0.000 0.000 1
Os1 0.500 0.000 0.500 1
Au1 0.251 0.500 0.250 1

=====

# MnRu2Rh, single point on PBEsol structure, DFT meta-GGA SCAN
# E_form (meV per atom): -20
# V (A^3/atom): 12.8
data_MnRu2Rh
_chemical_formula_sum 'Mn2 Ru4 Rh2'
_cell_length_a 8.696
_cell_length_b 2.634
_cell_length_c 4.548
_cell_angle_alpha 90.00
_cell_angle_beta 100.64
_cell_angle_gamma 90.00
_symmetry_space_group_name_H-M 'C 1 2/m 1'
_symmetry_Int_Tables_number 12
loop_
_symmetry_equiv_pos_as_xyz
'x,y,z'
'-x,-y,-z'
'-x,y,-z'
'x,-y,z'
'x+1/2,y+1/2,z'
'-x+1/2,-y+1/2,-z'
'-x+1/2,y+1/2,-z'
'x+1/2,-y+1/2,z'
loop_
_atom_site_label
_atom_site_fract_x
_atom_site_fract_y
_atom_site_fract_z
_atom_site_occupancy
Mn1 0.000 0.000 0.000 1
Ru1 0.246 0.500 0.241 1
Rh1 0.000 0.500 0.500 1

=====

# NaNiPb3, single point on PBEsol structure, DFT meta-GGA SCAN
# E_form (meV per atom): 1091
# V (A^3/atom): 29.6
data_NaNiPb3
_chemical_formula_sum 'Na1 Ni1 Pb3'
_cell_length_a 5.290
_cell_length_b 5.290
_cell_length_c 5.290
_cell_angle_alpha 90.00
_cell_angle_beta 90.00
_cell_angle_gamma 90.00
_symmetry_space_group_name_H-M 'P m -3 m'
_symmetry_Int_Tables_number 221
_symmetry_space_group_name_Hall '-P 4 2 3'
loop_
_atom_site_label
_atom_site_fract_x
_atom_site_fract_y
_atom_site_fract_z
_atom_site_occupancy
Na1 0.000 0.000 0.000 1
Ni1 0.500 0.500 0.500 1
Pb1 0.000 0.000 0.500 1

=====

# TbZr6P9O36, single point on PBEsol structure, DFT meta-GGA SCAN
# Raw formation energy (eV per atom): -3.0717
# V (A^3/atom): 14.8
data_TbZr6P9O36
_chemical_formula_sum 'Tb2 Zr12 P18 O72'
_cell_length_a 8.8860
_cell_length_b 8.8860
_cell_length_c 22.5195
_cell_angle_alpha 90.00
_cell_angle_beta 90.00
_cell_angle_gamma 120.00
_symmetry_space_group_name_H-M 'P -3 c 1'
_symmetry_Int_Tables_number 165
_symmetry_space_group_name_Hall '-P 3 2"c'
loop_
_atom_site_label
_atom_site_fract_x
_atom_site_fract_y
_atom_site_fract_z
_atom_site_occupancy
Tb1 0.0000 0.0000 0.0000 1
Zr1 0.0000 0.0000 0.1482 1
Zr2 0.3333 0.6667 0.0319 1
Zr3 0.3333 0.6667 0.3119 1
P1 0.0000 0.2912 0.2500 1
P2 0.0553 0.3752 0.9216 1
O1 0.0255 0.1838 0.9229 1
O2 0.0289 0.2023 0.1951 1
O3 0.1237 0.4847 0.5789 1
O4 0.1551 0.4665 0.8656 1
O5 0.1576 0.4626 0.9780 1
O6 0.1600 0.4683 0.2591 1

=====

# TaSbCl2, single point on PBEsol structure, DFT meta-GGA SCAN
# Raw formation energy (eV per atom): -0.1563
# Energy above the lowest structure with this stoichiometry (eV per formula unit): 0.00
# V (A^3/atom): 19.8
data_TaSbCl2
_chemical_formula_sum 'Ta1 Sb1 Cl2'
_cell_length_a 3.089
_cell_length_b 3.089
_cell_length_c 8.289
_cell_angle_alpha 90.00
_cell_angle_beta 90.00
_cell_angle_gamma 90.00
_symmetry_space_group_name_H-M 'P 4 m m'
_symmetry_Int_Tables_number 99
loop_
_symmetry_equiv_pos_as_xyz
'x,y,z'
'-y,x,z'
'-x,-y,z'
'y,-x,z'
'-x,y,z'
'y,x,z'
'x,-y,z'
'-y,-x,z'
loop_
_atom_site_label
_atom_site_fract_x
_atom_site_fract_y
_atom_site_fract_z
_atom_site_occupancy
Ta1 0.000 0.000 0.000 1
Sb1 0.500 0.500 0.737 1
Cl1 0.000 0.000 0.488 1
Cl2 0.500 0.500 0.183 1

=====

# LaTcCl2, single point on PBEsol structure, DFT meta-GGA SCAN
# Raw formation energy (eV per atom): -0.6014
# V (A^3/atom): 21.3
data_LaTcCl2
_chemical_formula_sum 'La2 Tc2 Cl4'
_cell_length_a 6.041
_cell_length_b 8.707
_cell_length_c 4.147
_cell_angle_alpha 90.00
_cell_angle_beta 128.62
_cell_angle_gamma 90.00
_symmetry_space_group_name_H-M 'C 1 2/m 1'
_symmetry_Int_Tables_number 12
loop_
_symmetry_equiv_pos_as_xyz
'x,y,z'
'-x,-y,-z'
'-x,y,-z'
'x,-y,z'
'x+1/2,y+1/2,z'
'-x+1/2,-y+1/2,-z'
'-x+1/2,y+1/2,-z'
'x+1/2,-y+1/2,z'
loop_
_atom_site_label
_atom_site_fract_x
_atom_site_fract_y
_atom_site_fract_z
_atom_site_occupancy
La1 0.000 0.000 0.000 1
Tc1 0.000 0.500 0.000 1
Cl1 0.250 0.250 0.500 1

=====

# Sr4Ni3O9, single point on PBEsol structure, DFT meta-GGA SCAN
# Raw formation energy (eV per atom): -2.1960
# V (A^3/atom): 12.3
data_Sr4Ni3O9
_chemical_formula_sum 'Sr12 Ni9 O27'
_cell_length_a 9.3648
_cell_length_b 9.3648
_cell_length_c 7.7613
_cell_angle_alpha 90.00
_cell_angle_beta 90.00
_cell_angle_gamma 120.00
_symmetry_space_group_name_H-M 'P 3 2 1'
_symmetry_Int_Tables_number 150
loop_
_symmetry_equiv_pos_as_xyz
'x,y,z'
'-y,x-y,z'
'-x+y,-x,z'
'y,x,-z'
'x-y,-y,-z'
'-x,-x+y,-z'
loop_
_atom_site_label
_atom_site_fract_x
_atom_site_fract_y
_atom_site_fract_z
_atom_site_occupancy
Sr1 0.0000 0.6402 0.0000 1
Sr2 0.0000 0.6654 0.5000 1
Sr3 0.0230 0.3305 0.7523 1
Ni1 0.0000 0.0000 0.0000 1
Ni2 0.0000 0.0000 0.3412 1
Ni3 0.3333 0.6667 0.2444 1
Ni4 0.3333 0.6667 0.5818 1
Ni5 0.3333 0.6667 0.9012 1
O1 0.0000 0.1516 0.5000 1
O2 0.0108 0.8472 0.1977 1
O3 0.1720 0.6538 0.7415 1
O4 0.1824 0.5086 0.4378 1
O5 0.1830 0.5012 0.0443 1